Record 1
A plane-wave DFT calculation with PBE was carried out for a geometry-optimized NbV5Mo4 structure.

a b c (Å): 3.086 3.086 15.545
angles (deg): 90.00 90.00 90.00
Fractional positions:
Nb1 0.000 0.000 0.000
V1 0.500 0.500 0.108
V2 0.500 0.500 0.303
V3 0.500 0.500 0.500
V4 0.500 0.500 0.697
V5 0.500 0.500 0.892
Mo1 0.000 0.000 0.203
Mo2 0.000 0.000 0.401
Mo3 0.000 0.000 0.599
Mo4 0.000 0.000 0.797

Computed properties:
The energy relative to the elements is -0.0963 eV/atom. As for the crystal system: tetragonal. The raw total energy comes out at -9.995 eV per atom.

Record 2
A plane-wave DFT calculation with PBE was carried out for a geometry-optimized LiCe2Sm structure.

a b c (Å): 3.312 3.312 10.314
angles (deg): 90.00 90.00 90.00
Last column: magnetic moment on the atom in μB.
Fractional positions:
Ce1 0.000 0.000 0.761  0.77
Ce2 0.000 0.000 0.239  0.77
Sm1 0.500 0.500 0.500  0.01
Li1 0.500 0.500 0.000  0.02

Computed properties:
The energy relative to the elements is 0.2131 eV/atom. As for the crystal system: tetragonal. As for the energy above the most stable polymorph in this dataset: 0.00 eV/f.u. The raw total energy comes out at -4.412 eV per atom.

Record 3
A plane-wave DFT calculation with PBE was carried out for a geometry-optimized La5PmPb2 structure.

a b c (Å): 5.041 7.164 14.315
angles (deg): 90.00 90.00 90.00
Fractional positions:
La1 0.000 0.000 0.000
La2 0.000 0.500 0.500
La3 0.000 0.493 0.752
La4 0.000 0.507 0.248
La5 0.000 0.007 0.252
La6 0.000 0.993 0.748
La7 0.500 0.246 0.875
La8 0.500 0.754 0.125
La9 0.500 0.254 0.375
La10 0.500 0.746 0.625
Pm1 0.000 0.000 0.500
Pm2 0.000 0.500 0.000
Pb1 0.500 0.243 0.623
Pb2 0.500 0.757 0.377
Pb3 0.500 0.257 0.123
Pb4 0.500 0.743 0.877

Computed properties:
The energy relative to the elements is -0.3780 eV/atom. As for the crystal system: orthorhombic. The raw total energy comes out at -4.979 eV per atom.

Record 4
A plane-wave DFT calculation with PBE was carried out for a geometry-optimized HfTe2OsRu structure.

a b c (Å): 5.392 4.739 5.392
angles (deg): 90.00 90.00 90.00
Last column: magnetic moment on the atom in μB.
Fractional positions:
Hf1 0.000 0.000 0.000  -0.02
Te1 0.000 0.000 0.500  0.01
Te2 0.500 0.000 0.000  0.03
Os1 0.500 0.500 0.500  2.48
Ru1 0.000 0.500 0.000  0.50

Computed properties:
As for the crystal system: tetragonal. The energy relative to the elements, uncorrected is 1.7106 eV/atom. The raw total energy comes out at -5.638 eV per atom.

Record 5
A plane-wave DFT calculation with PBE was carried out for a geometry-optimized AlNiHg2 structure.

a b c (Å): 4.830 4.830 4.673
angles (deg): 75.07 75.07 43.64
Fractional positions:
Ni1 0.750 0.750 0.750
Hg1 0.009 0.009 0.987
Hg2 0.491 0.491 0.513
Al1 0.250 0.250 0.250

Computed properties:
The energy relative to the elements is 0.2132 eV/atom. As for the crystal system: monoclinic. The raw total energy comes out at -2.319 eV per atom.

Record 6
A plane-wave DFT calculation with PBE was carried out for a geometry-optimized SrSnSN2 structure.

a b c (Å): 4.250 4.250 5.263
angles (deg): 90.00 90.00 90.00
Last column: magnetic moment on the atom in μB.
Fractional positions:
Sr1 0.500 0.500 0.500  -0.01
S1 0.000 0.000 0.500  0.11
Sn1 0.000 0.000 0.000  -0.06
N1 0.000 0.500 0.000  0.66
N2 0.500 0.000 0.000  0.66

Computed properties:
As for the crystal system: tetragonal. The energy relative to the elements, uncorrected is 0.1759 eV/atom. As for the energy above the most stable polymorph in this dataset: 0.00 eV/f.u. The raw total energy comes out at -5.117 eV per atom.

Record 7
A plane-wave DFT calculation with PBE was carried out for a geometry-optimized Fe4CoNi3 structure.

a b c (Å): 2.441 8.202 6.321
angles (deg): 130.45 101.13 90.00
Last column: magnetic moment on the atom in μB.
Fractional positions:
Ni1 0.000 0.500 0.000  0.67
Ni2 0.766 0.766 0.532  0.70
Ni3 0.234 0.234 0.468  0.70
Co1 0.500 0.000 0.000  1.76
Fe1 0.629 0.386 0.258  2.62
Fe2 0.371 0.614 0.742  2.62
Fe3 0.371 0.127 0.742  2.62
Fe4 0.629 0.873 0.258  2.62

Computed properties:
The energy relative to the elements is 0.1179 eV/atom. As for the crystal system: orthorhombic. The raw total energy comes out at -7.170 eV per atom.

Record 8
A plane-wave DFT calculation with PBE was carried out for a geometry-optimized Zn3RuAu structure.

a b c (Å): 4.737 4.737 4.737
angles (deg): 90.00 90.00 90.00
Fractional positions:
Ru1 0.000 0.000 0.000
Zn1 0.000 0.500 0.000
Zn2 0.000 0.000 0.500
Zn3 0.500 0.000 0.000
Au1 0.500 0.500 0.500

Computed properties:
The energy relative to the elements is 0.6655 eV/atom. As for the crystal system: cubic. As for the energy above the most stable polymorph in this dataset: 0.00 eV/f.u. The raw total energy comes out at -2.610 eV per atom.

Please write out number 4 again, unchanged.
A plane-wave DFT calculation with PBE was carried out for a geometry-optimized HfTe2OsRu structure.

a b c (Å): 5.392 4.739 5.392
angles (deg): 90.00 90.00 90.00
Last column: magnetic moment on the atom in μB.
Fractional positions:
Hf1 0.000 0.000 0.000  -0.02
Te1 0.000 0.000 0.500  0.01
Te2 0.500 0.000 0.000  0.03
Os1 0.500 0.500 0.500  2.48
Ru1 0.000 0.500 0.000  0.50

Computed properties:
As for the crystal system: tetragonal. The energy relative to the elements, uncorrected is 1.7106 eV/atom. The raw total energy comes out at -5.638 eV per atom.